DFT (PBE+U) results for an optimized crystal structure of TaCrFe2O6.

Cell: 5.237 5.270 5.576 Å, 62.07 61.37 59.95°
Last column: magnetic moment on the atom in μB.
Positions (direct):
Ta1 0.319 0.314 0.047  0.00
Cr1 0.818 0.819 0.543  -2.95
Fe1 0.525 0.522 0.429  3.75
Fe2 0.038 0.029 0.913  3.76
O1 0.594 0.196 0.256  0.05
O2 0.195 0.952 0.264  0.06
O3 0.945 0.583 0.268  0.06
O4 0.439 0.700 0.771  0.06
O5 0.694 0.094 0.765  0.06
O6 0.095 0.452 0.760  0.06

Summary:
total magnetic moment = 5.00 Bohr magnetons per cell
DFT total energy = -8.0769 eV per atom
N(E_F) = 0.00 states/eV per cell
symmetry = P1, No. 1